DFT (PBE) results for crystalline LaLuAgGe at its relaxed geometry.

a = 5.1815 Å, b = 5.1815 Å, c = 5.1815 Å
α = 60.00°, β = 60.00°, γ = 60.00°
Positions (direct):
Ge  0.2500  0.2500  0.2500
Lu  0.0000  0.0000  0.0000
La  0.5000  0.5000  0.5000
Ag  0.7500  0.7500  0.7500

Energy relative to the elements in kJ/mol of formula units: -190
V in Å³ per cell: 98.4